(1)
Below is crystalline SnOsRu at its relaxed geometry, with properties calculated at the PBE-GGA level.

```
6
Lattice="2.9339 0.0000 0.0000 0.2219 4.6298 0.0000 0.1757 0.4811 7.3361" Properties=species:S:1:pos:R:3 pbc="T T T"
Sn 0.8537 1.8450 2.3999
Sn 2.4778 3.2659 4.9362
Os 1.0187 3.5387 0.1865
Os 2.3128 1.5721 7.1497
Ru 0.8457 0.8954 5.0666
Ru 2.4858 4.2154 2.2695
```

- D(E_F): 0.62 states/eV/atom
- E above lowest polymorph: 50 meV per atom
- Volume: 99.6 Å³ per cell
- Magnetic moment: 0.00 μB/f.u.
- Raw total energy: -7.93 eV per atom



(2)
Below is crystalline SnOsRu at its relaxed geometry, with properties calculated at the PBE-GGA level.

```
3
Lattice="2.9032 0.0000 0.0000 0.0000 2.8901 0.0000 -1.0809 0.0000 6.0724" Properties=species:S:1:pos:R:3 pbc="T T T"
Sn 0.0000 0.0000 0.0000
Os 0.2265 0.0000 3.6877
Ru 1.6786 1.4450 2.0784
```

- D(E_F): 0.26 states/eV/atom
- E above lowest polymorph: 41 meV per atom
- Volume: 51.0 Å³ per cell
- Magnetic moment: 0.00 μB/f.u.
- Raw total energy: -7.94 eV per atom



(3)
Below is crystalline SnOsRu at its relaxed geometry, with properties calculated at the PBE-GGA level.

```
6
Lattice="4.8262 0.0000 0.0000 0.0000 2.9410 0.0000 -2.1821 0.0000 6.9123" Properties=species:S:1:pos:R:3 pbc="T T T"
Sn -0.5088 0.7353 2.1426
Sn 3.1528 2.2058 4.7698
Os 1.3538 0.7353 0.1202
Os 1.2902 2.2058 6.7921
Ru 0.6979 0.7353 4.6061
Ru 1.9461 2.2058 2.3062
```

- D(E_F): 0.89 states/eV/atom
- E above lowest polymorph: 46 meV per atom
- Volume: 98.1 Å³ per cell
- Magnetic moment: 0.00 μB/f.u.
- Raw total energy: -7.93 eV per atom



(4)
Below is crystalline Sn3OsRu at its relaxed geometry, with properties calculated at the PBE-GGA level.

```
5
Lattice="5.0658 0.0000 0.0000 0.0000 5.0658 0.0000 0.0000 0.0000 5.0658" Properties=species:S:1:pos:R:3 pbc="T T T"
Sn 0.0000 0.0000 2.5329
Sn 0.0000 2.5329 0.0000
Sn 2.5329 0.0000 0.0000
Os 2.5329 2.5329 2.5329
Ru 0.0000 0.0000 0.0000
```

- D(E_F): 1.24 states/eV/atom
- E above lowest polymorph: 65 meV per atom
- Volume: 130.0 Å³ per cell
- Magnetic moment: 2.00 μB/f.u.
- Raw total energy: -5.42 eV per atom